[1]
Li2SbRh | meta-GGA SCAN | single point on PBEsol structure

Computed properties:
uncorrected formation energy	-487.6	meV per atom
calculated total energy	-77.762	eV for the cell shown
density of states at the Fermi level	1.82	states/eV per cell
magnetization	0.000	μB per atom

Cell: 5.0163 5.0163 5.0163 Å, 135.54 135.54 64.69°
Last column: nearest neighbours and their distance in Å.
Atoms (fractional coordinates):
Li  0.2500  0.7500  0.5000  4 Li 2.68, 4 Sb 2.84, 4 Rh 2.84
Li  0.7500  0.2500  0.5000  4 Li 2.68, 4 Sb 2.84, 4 Rh 2.84
Sb  0.0000  0.0000  0.0000  4 Rh 2.68, 8 Li 2.84
Rh  0.5000  0.5000  0.0000  4 Sb 2.68, 8 Li 2.84

=====

[2]
Li2SbRh | meta-GGA SCAN | single point on PBEsol structure

Computed properties:
uncorrected formation energy	-350.5	meV per atom
calculated total energy	-77.214	eV for the cell shown
density of states at the Fermi level	1.63	states/eV per cell
magnetization	0.000	μB per atom

Cell: 3.0235 4.4532 4.8261 Å, 90.00 101.57 90.00°
Last column: nearest neighbours and their distance in Å.
Atoms (fractional coordinates):
Li  0.2213  0.0000  0.2712  2 Li 2.49-2.69, 2 Rh 2.63
Li  0.7787  0.0000  0.7288  2 Li 2.49-2.69, 2 Rh 2.63
Sb  0.5000  0.5000  0.0000  2 Rh 2.58, 4 Li 2.80
Rh  0.0000  0.5000  0.5000  2 Sb 2.58, 4 Li 2.63

=====

[3]
Li2SbRh | meta-GGA SCAN | single point on PBEsol structure

Computed properties:
uncorrected formation energy	-43.0	meV per atom
calculated total energy	-75.984	eV for the cell shown
density of states at the Fermi level	1.92	states/eV per cell
magnetization	0.094	μB per atom

Cell: 8.9570 8.9570 8.9570 Å, 19.05 19.05 19.05°
Last column: nearest neighbours and their distance in Å.
Atoms (fractional coordinates):
Li  0.2414  0.2414  0.2414  3 Rh 2.61
Li  0.7586  0.7586  0.7586  3 Rh 2.61
Sb  0.0000  0.0000  0.0000  6 Sb 2.96, 6 Li 2.97
Rh  0.5000  0.5000  0.5000  6 Li 2.61

=====

[4]
Li2SbRh | meta-GGA SCAN | single point on PBEsol structure

Computed properties:
uncorrected formation energy	-419.1	meV per atom
calculated total energy	-77.488	eV for the cell shown
density of states at the Fermi level	1.11	states/eV per cell
magnetization	0.000	μB per atom

Cell: 3.1813 3.5159 5.7194 Å, 90.00 90.00 90.00°
Last column: nearest neighbours and their distance in Å.
Atoms (fractional coordinates):
Li  0.0000  0.0000  0.0000  4 Li 2.74, 2 Rh 2.84-2.88, 4 Sb 2.88
Li  0.5000  0.5000  0.2414  2 Sb 2.70-3.02, 4 Li 2.74, 4 Rh 2.78
Sb  0.5000  0.5000  0.7140  4 Rh 2.68, 5 Li 2.70-2.88
Rh  0.0000  0.0000  0.4965  4 Sb 2.68, 6 Li 2.78-2.88